No. 1
Entry from Alexandria via LeMat-Bulk: a relaxed SrIn2AgBr crystal (GGA-PBE).

Energy relative to the elements, uncorrected (eV per atom): 0.071
N(E_F) (states/eV/f.u.): 3.01
Total magnetization (μB/cell): 0.00

The structure in CIF format:
```
data_SrIn2AgBr
_chemical_formula_sum 'Sr1 In2 Ag1 Br1'
_symmetry_space_group_name_H-M 'P 1'
_symmetry_Int_Tables_number 1
_symmetry_space_group_name_Hall 'P 1'
_cell_length_a 5.846
_cell_length_b 5.846
_cell_length_c 5.769
_cell_angle_alpha 90.00
_cell_angle_beta 90.00
_cell_angle_gamma 90.00
loop_
_atom_site_label
_atom_site_type_symbol
_atom_site_fract_x
_atom_site_fract_y
_atom_site_fract_z
Sr1 Sr 0.000 0.000 0.000
In1 In 0.000 0.500 0.500
In2 In 0.500 0.000 0.500
Ag1 Ag 0.500 0.500 0.000
Br1 Br 0.000 0.000 0.500
```



No. 2
Entry from Alexandria via LeMat-Bulk: a relaxed KIrSe2 crystal (GGA-PBE).

Energy relative to the elements, uncorrected (eV per atom): -0.492
N(E_F) (states/eV/f.u.): 0.33
Total magnetization (μB/cell): 0.00

The structure in CIF format:
```
data_KIrSe2
_chemical_formula_sum 'K2 Ir2 Se4'
_symmetry_space_group_name_H-M 'P 1'
_symmetry_Int_Tables_number 1
_symmetry_space_group_name_Hall 'P 1'
_cell_length_a 6.028
_cell_length_b 6.394
_cell_length_c 6.621
_cell_angle_alpha 62.72
_cell_angle_beta 84.34
_cell_angle_gamma 85.14
loop_
_atom_site_label
_atom_site_type_symbol
_atom_site_fract_x
_atom_site_fract_y
_atom_site_fract_z
K1 K 0.239 0.473 0.272
K2 K 0.761 0.527 0.728
Ir1 Ir 0.004 0.991 0.797
Ir2 Ir 0.996 0.009 0.203
Se1 Se 0.237 0.892 0.522
Se2 Se 0.293 0.140 0.911
Se3 Se 0.707 0.860 0.089
Se4 Se 0.763 0.108 0.478
```